# 1
This record from the Alexandria database describes a relaxed Nd5Sm5Dy2 crystal. The functional is PBE-GGA.

Properties
* calculated volume: 408 Å³/cell
* energy of formation: 0.015 eV per atom

Cell: 5.1391 8.1361 10.9126 Å, 72.63 76.38 71.59°
Element x y z (fractional)
Dy 0.0835 0.5842 0.2489
Dy 0.9165 0.4158 0.7511
Nd 0.2512 0.7478 0.7498
Nd 0.7488 0.2522 0.2502
Nd 0.0000 0.0000 0.0000
Nd 0.8347 0.8311 0.4994
Nd 0.1653 0.1689 0.5006
Sm 0.4179 0.9148 0.2493
Sm 0.5821 0.0852 0.7507
Sm 0.6671 0.6660 0.9998
Sm 0.3329 0.3340 0.0002
Sm 0.5000 0.5000 0.5000

# 2
This record from the Alexandria database describes a relaxed Pr6Ho2ErSc crystal. The functional is PBE-GGA.

Properties
* calculated volume: 343 Å³/cell
* energy of formation: 0.220 eV per atom

Cell: 8.9965 7.5862 6.4018 Å, 126.34 100.45 90.00°
Element x y z (fractional)
Ho 0.8591 0.8715 0.7430
Ho 0.1409 0.1285 0.2570
Pr 0.7849 0.3522 0.2679
Pr 0.2151 0.6478 0.7321
Pr 0.7849 0.9157 0.2679
Pr 0.5569 0.3422 0.6844
Pr 0.2151 0.0843 0.7321
Pr 0.4431 0.6578 0.3156
Sc 0.5000 0.0000 0.0000
Er 0.0000 0.5000 0.0000

# 3
This record from the Alexandria database describes a relaxed Na2SnBiSe4 crystal. The functional is PBE-GGA.

Properties
* calculated volume: 551 Å³/cell
* energy relative to the elements, uncorrected: -4.831 eV/f.u.

Cell: 7.1294 7.6788 10.0693 Å, 90.00 90.00 90.00°
Element x y z (fractional)
Se 0.8696 0.8424 0.5000
Se 0.3941 0.6940 0.2605
Se 0.3941 0.6940 0.7395
Se 0.8905 0.8444 0.0000
Se 0.3905 0.1556 0.5000
Se 0.8941 0.3060 0.7605
Se 0.3696 0.1576 0.0000
Se 0.8941 0.3060 0.2395
Sn 0.4926 0.8222 0.5000
Sn 0.9926 0.1778 0.0000
Na 0.4834 0.3199 0.2495
Na 0.9834 0.6801 0.2505
Na 0.4834 0.3199 0.7505
Na 0.9834 0.6801 0.7495
Bi 0.4922 0.8195 0.0000
Bi 0.9922 0.1805 0.5000

# 4
This record from the Alexandria database describes a relaxed KSiAu2 crystal. The functional is PBE-GGA.

Properties
* calculated volume: 108 Å³/cell
* energy relative to the elements, uncorrected: -0.512 eV/f.u.

Cell: 5.1176 5.1176 6.2860 Å, 71.63 71.63 44.15°
Element x y z (fractional)
Au 0.7040 0.7040 0.9339
Au 0.9896 0.9896 0.9756
K 0.5030 0.5030 0.4969
Si 0.3034 0.3034 0.0935

# 5
This record from the Alexandria database describes a relaxed Sc3AgN crystal. The functional is PBE-GGA.

Properties
* energy above the lowest structure with this stoichiometry: 57.0 meV/atom
* calculated volume: 176 Å³/cell
* energy relative to the elements, uncorrected: -4.312 eV/f.u.

Cell: 7.0804 4.4057 6.3167 Å, 90.00 116.43 90.00°
Element x y z (fractional)
Sc 0.8701 0.3298 0.2151
Sc 0.8706 0.3298 0.7285
Sc 0.1394 0.8298 0.1066
Sc 0.3703 0.3298 0.4718
Sc 0.6012 0.8298 0.8370
Sc 0.3703 0.3298 0.9718
Ag 0.1161 0.8299 0.5948
Ag 0.6245 0.8299 0.3487
N 0.6133 0.3298 0.8431
N 0.1274 0.3298 0.1005

# 6
This record from the Alexandria database describes a relaxed AgSbN2O crystal. The functional is PBE-GGA.

Properties
* calculated volume: 68 Å³/cell
* energy relative to the elements, uncorrected: 4.342 eV/f.u.

Cell: 4.1226 4.1226 3.9796 Å, 90.00 90.00 90.00°
Each line ends with the local moment (μB).
Element x y z (fractional)
O 0.0000 0.0000 0.5000  0.14
N 0.0000 0.5000 0.0000  0.64
N 0.5000 0.0000 0.0000  0.64
Ag 0.5000 0.5000 0.5000  0.16
Sb 0.0000 0.0000 0.0000  -0.04

# 7
This record from the Alexandria database describes a relaxed K3LiZr crystal. The functional is PBE-GGA.

Properties
* energy above the lowest structure with this stoichiometry: 33.8 meV/atom
* calculated volume: 326 Å³/cell
* energy of formation: 1.089 eV per atom

Cell: 6.8829 6.8829 6.8829 Å, 90.00 90.00 90.00°
Each line ends with the local moment (μB).
Element x y z (fractional)
Zr 0.0000 0.0000 0.0000  1.85
K 0.5000 0.0000 0.0000  0.04
K 0.0000 0.0000 0.5000  0.04
K 0.0000 0.5000 0.0000  0.04
Li 0.5000 0.5000 0.5000  -0.01

# 8
This record from the Alexandria database describes a relaxed HgTe2Au crystal. The functional is PBE-GGA.

Properties
* calculated volume: 237 Å³/cell
* energy relative to the elements, uncorrected: -0.155 eV/f.u.

Cell: 8.2081 6.8876 4.4736 Å, 70.13 92.61 86.36°
Element x y z (fractional)
Hg 0.1034 0.4908 0.0579
Hg 0.3892 0.3435 0.8639
Te 0.6842 0.2148 0.5972
Te 0.3797 0.8538 0.3130
Te 0.8087 0.6196 0.3250
Te 0.1132 0.9806 0.6092
Au 0.5981 0.7483 0.8116
Au 0.8949 0.0861 0.1105

# 9
This record from the Alexandria database describes a relaxed Cr2TcBr crystal. The functional is PBE-GGA.

Properties
* energy above the lowest structure with this stoichiometry: 316.8 meV/atom
* calculated volume: 55 Å³/cell
* energy relative to the elements, uncorrected: 3.235 eV/f.u.

Cell: 5.0559 5.0559 5.0559 Å, 146.37 129.35 62.18°
Element x y z (fractional)
Cr 0.4867 0.4867 0.0000
Cr 0.0133 0.0133 0.0000
Br 0.2500 0.7500 0.5000
Tc 0.7500 0.2500 0.5000

# 10
This record from the Alexandria database describes a relaxed Rb2TeI2Cl4 crystal. The functional is PBE-GGA.

Properties
* calculated volume: 342 Å³/cell
* energy relative to the elements, uncorrected: -9.788 eV/f.u.

Cell: 7.8311 7.8311 7.8311 Å, 90.93 119.47 119.47°
Element x y z (fractional)
Rb 0.5000 0.7500 0.2500
Rb 0.5000 0.2500 0.7500
Cl 0.0000 0.7698 0.2302
Cl 0.0000 0.2302 0.7698
Cl 0.5397 0.7698 0.7698
Cl 0.4603 0.2302 0.2302
I 0.0000 0.2694 0.2694
I 0.0000 0.7306 0.7306
Te 0.0000 0.0000 0.0000

# 11
This record from the Alexandria database describes a relaxed FeSb3 crystal. The functional is PBE-GGA.

Properties
* energy above the lowest structure with this stoichiometry: 318.4 meV/atom
* calculated volume: 93 Å³/cell
* energy relative to the elements, uncorrected: 1.169 eV/f.u.

Cell: 3.3251 3.3251 9.7371 Å, 90.00 90.00 120.00°
Each line ends with the local moment (μB).
Element x y z (fractional)
Sb 0.6667 0.3333 0.1843  -0.06
Sb 0.6667 0.3333 0.8157  -0.06
Sb 0.0000 0.0000 0.5000  -0.05
Fe 0.0000 0.0000 0.0000  1.42

# 12
This record from the Alexandria database describes a relaxed Sb2Ir2Pb crystal. The functional is PBE-GGA.

Properties
* energy above the lowest structure with this stoichiometry: 47.5 meV/atom
* calculated volume: 209 Å³/cell
* energy relative to the elements, uncorrected: 0.811 eV/f.u.

Cell: 8.1097 8.1097 3.1745 Å, 90.00 90.00 90.00°
Element x y z (fractional)
Sb 0.3481 0.1519 0.5000
Sb 0.6519 0.8481 0.5000
Sb 0.8481 0.3481 0.5000
Sb 0.1519 0.6519 0.5000
Pb 0.5000 0.5000 0.0000
Pb 0.0000 0.0000 0.0000
Ir 0.8694 0.6306 0.0000
Ir 0.1306 0.3694 0.0000
Ir 0.6306 0.1306 0.0000
Ir 0.3694 0.8694 0.0000